[1]
## SiMoAu3 (PBE)

Data for a relaxed structure of SiMoAu3.

Values from the calculation:
- Polymorph energy (0 for the lowest one): 0 meV/atom
- Uncorrected formation energy: 0.777 eV/atom
- Density: 11.24 Mg/m³
- Symmetry: Pm-3m
- Raw total energy: -4.4401 eV per atom
- Magnetic moment: 4.12 μB/cell

a b c (Å): 4.727 4.727 4.727
angles (deg): 90.00 90.00 90.00
Each line ends with the local moment (μB).
Fractional coordinates of all 5 atoms:
1 Au 0.000 0.000 0.500  0.00
2 Si 0.000 0.000 0.000  0.03
3 Mo 0.500 0.500 0.500  3.42
4 Au 0.000 0.500 0.000  0.00
5 Au 0.500 0.000 0.000  0.02

[2]
## SiMoAu (PBE)

Data for a relaxed structure of SiMoAu.

Values from the calculation:
- Polymorph energy (0 for the lowest one): 53 meV/atom
- Uncorrected formation energy: 0.176 eV/atom
- Density: 11.26 Mg/m³
- Symmetry: I4mm
- Raw total energy: -6.3348 eV per atom
- Magnetic moment: 0.00 μB/cell

a b c (Å): 5.380 5.380 5.380
angles (deg): 146.49 146.42 48.17
Fractional coordinates of all 3 atoms:
1 Au 0.009 0.009 0.000
2 Mo 0.308 0.308 0.000
3 Si 0.683 0.683 0.000

[3]
## Si2MoAu2 (PBE)

Data for a relaxed structure of Si2MoAu2.

Values from the calculation:
- Polymorph energy (0 for the lowest one): 296 meV/atom
- Uncorrected formation energy: 0.468 eV/atom
- Density: 10.72 Mg/m³
- Symmetry: I4/mmm
- Raw total energy: -5.1779 eV per atom
- Magnetic moment: 0.63 μB/cell

a b c (Å): 3.732 3.732 6.622
angles (deg): 73.63 73.63 90.00
Each line ends with the local moment (μB).
Fractional coordinates of all 5 atoms:
1 Si 0.594 0.594 0.812  -0.01
2 Au 0.250 0.750 0.500  0.00
3 Mo 0.000 0.000 0.000  0.61
4 Au 0.750 0.250 0.500  0.00
5 Si 0.406 0.406 0.188  -0.01

[4]
## SiMoAu (PBE)

Data for a relaxed structure of SiMoAu.

Values from the calculation:
- Polymorph energy (0 for the lowest one): 122 meV/atom
- Uncorrected formation energy: 0.244 eV/atom
- Density: 11.07 Mg/m³
- Symmetry: Fmm2
- Raw total energy: -6.2666 eV per atom
- Magnetic moment: 0.00 μB/cell

a b c (Å): 6.721 6.543 2.823
angles (deg): 81.27 74.19 24.53
Fractional coordinates of all 3 atoms:
1 Mo 0.320 0.320 0.680
2 Si 0.674 0.674 0.326
3 Au 0.006 0.006 0.994

[5]
## SiMoAu4 (PBE)

Data for a relaxed structure of SiMoAu4.

Values from the calculation:
- Uncorrected formation energy: 0.655 eV/atom
- Density: 13.04 Mg/m³
- Symmetry: F-43m
- Raw total energy: -4.2394 eV per atom
- Magnetic moment: 3.63 μB/cell

a b c (Å): 5.477 5.477 5.477
angles (deg): 60.00 60.00 60.00
Each line ends with the local moment (μB).
Fractional coordinates of all 6 atoms:
1 Au 0.625 0.625 0.125  0.05
2 Si 0.000 0.000 0.000  -0.04
3 Au 0.625 0.625 0.625  0.05
4 Mo 0.250 0.250 0.250  3.05
5 Au 0.125 0.625 0.625  0.05
6 Au 0.625 0.125 0.625  0.05

[6]
## Sn2MoAu2 (PBE)

Data for a relaxed structure of Sn2MoAu2.

Values from the calculation:
- Polymorph energy (0 for the lowest one): 0 meV/atom
- Density: 11.29 Mg/m³
- Symmetry: I4/mmm
- Raw total energy: -4.7156 eV per atom
- Magnetic moment: 0.27 μB/cell
- Energy of formation: 363 meV/atom

a b c (Å): 3.696 3.696 8.260
angles (deg): 77.07 77.07 90.00
Each line ends with the local moment (μB).
Fractional coordinates of all 5 atoms:
1 Sn 0.595 0.595 0.810  -0.02
2 Mo 0.000 0.000 0.000  0.29
3 Au 0.250 0.750 0.500  -0.01
4 Sn 0.405 0.405 0.190  -0.02
5 Au 0.750 0.250 0.500  -0.01